Computed, not measured: crystalline ScCoMo2 at its relaxed geometry at the GGA-PBE level of DFT.

## Properties
energy of formation: 0.3351 eV/atom

Cell and atoms, written as extended XYZ:
```
12
Lattice="2.875 0.000 0.000 -1.437 2.490 0.000 0.000 0.000 26.585" Properties=species:S:1:pos:R:3 pbc="T T T"
Sc 0.000 0.000 0.000
Sc 0.000 1.660 17.723
Sc 1.438 0.830 8.862
Co 0.000 0.000 6.740
Co 0.000 1.660 24.463
Co 1.438 0.830 15.601
Mo 0.000 0.000 13.671
Mo 0.000 0.000 20.176
Mo 0.000 1.660 4.810
Mo 0.000 1.660 11.315
Mo 1.438 0.830 2.453
Mo 1.438 0.830 22.533
```



Computed, not measured: crystalline La3Pm6Pu at its relaxed geometry at the GGA-PBE level of DFT.

## Properties
energy of formation: 0.2200 eV/atom

Cell and atoms, written as extended XYZ:
```
10
Lattice="5.021 2.899 3.934 -5.021 2.899 3.934 0.000 -5.798 3.934" Properties=species:S:1:pos:R:3 pbc="T T T"
La 0.000 0.000 0.000
La 0.000 0.000 3.100
La 0.000 0.000 6.212
Pm -1.895 -2.898 5.053
Pm -3.389 0.065 7.015
Pm -1.562 3.090 5.053
Pm 1.639 -2.967 7.015
Pm 3.457 -0.193 5.053
Pm 1.751 2.903 7.015
Pu 0.000 0.000 9.007
```



Computed, not measured: crystalline TbEr4Zn5 at its relaxed geometry at the GGA-PBE level of DFT.

## Properties
energy of formation: -0.3448 eV/atom

Cell and atoms, written as extended XYZ:
```
10
Lattice="3.546 0.000 0.000 0.000 3.546 0.000 0.000 0.000 17.749" Properties=species:S:1:pos:R:3 pbc="T T T"
Tb 0.000 0.000 0.000
Er 0.000 0.000 3.576
Er 0.000 0.000 7.111
Er 0.000 0.000 10.638
Er 0.000 0.000 14.174
Zn 1.773 1.773 1.833
Zn 1.773 1.773 5.342
Zn 1.773 1.773 8.875
Zn 1.773 1.773 12.407
Zn 1.773 1.773 15.916
```



Computed, not measured: crystalline ReAgOs2 at its relaxed geometry at the GGA-PBE level of DFT.

## Properties
energy of formation: 0.8599 eV/atom

Cell and atoms, written as extended XYZ:
```
4
Lattice="4.645 0.000 0.000 0.000 4.645 0.000 0.000 0.000 2.846" Properties=species:S:1:pos:R:3 pbc="T T T"
Re 0.000 0.000 0.000
Ag 2.322 2.322 0.000
Os 0.000 2.322 1.423
Os 2.322 0.000 1.423
```



Computed, not measured: crystalline Te2HRuI at its relaxed geometry at the GGA-PBE level of DFT.

Cell and atoms, written as extended XYZ:
```
5
Lattice="4.363 0.000 0.000 0.000 4.363 0.000 0.000 0.000 5.444" Properties=species:S:1:pos:R:3 pbc="T T T"
Te 0.000 2.181 0.000
Te 2.181 0.000 0.000
H 0.000 0.000 0.000
Ru 2.181 2.181 2.722
I 0.000 0.000 2.722
```



Computed, not measured: crystalline PuMgInIr at its relaxed geometry at the GGA-PBE level of DFT.

## Properties
energy of formation: -0.1572 eV/atom

Cell and atoms, written as extended XYZ:
```
16
Lattice="6.934 0.000 0.000 0.000 6.934 0.000 0.000 0.000 6.934" Properties=species:S:1:pos:R:3 pbc="T T T"
Pu 0.000 0.000 0.000
Pu 0.000 3.467 3.467
Pu 3.467 0.000 3.467
Pu 3.467 3.467 0.000
Mg 0.000 0.000 3.467
Mg 0.000 3.467 0.000
Mg 3.467 0.000 0.000
Mg 3.467 3.467 3.467
In 1.734 1.734 1.734
In 1.734 5.201 5.201
In 5.201 1.734 5.201
In 5.201 5.201 1.734
Ir 1.734 1.734 5.201
Ir 1.734 5.201 1.734
Ir 5.201 1.734 1.734
Ir 5.201 5.201 5.201
```



Computed, not measured: crystalline Co3TcH at its relaxed geometry at the GGA-PBE level of DFT.

Cell and atoms, written as extended XYZ:
```
5
Lattice="4.431 0.000 0.000 0.000 4.431 0.000 0.000 0.000 4.431" Properties=species:S:1:pos:R:3 pbc="T T T"
Co 0.000 0.000 2.216
Co 0.000 2.216 0.000
Co 2.216 0.000 0.000
Tc 0.000 0.000 0.000
H 2.216 2.216 2.216
```



Computed, not measured: crystalline TaHOsSe2 at its relaxed geometry at the GGA-PBE level of DFT.

Cell and atoms, written as extended XYZ:
```
5
Lattice="4.535 0.000 0.000 0.000 4.535 0.000 0.000 0.000 3.387" Properties=species:S:1:pos:R:3 pbc="T T T"
Ta 0.000 0.000 0.000
H 0.000 0.000 1.693
Os 2.267 2.267 0.000
Se 0.000 2.267 1.693
Se 2.267 0.000 1.693
```



Calculated density list, top to bottom, in g cm⁻³: 7.7; 7.4; 8.6; 18.2; 7.8; 11.5; 5.3; 12.6
Energy list, top to bottom, in eV/atom: -8.440; -5.542; -3.270; -8.580; -3.050; -7.039; -4.981; -6.143